An optimized crystal structure of K2TlHg. Source: the Alexandria database, functional PBE.

## Properties
DOS(E_F) in states/eV per cell: 3.7
Total moment in μB per atom: 0.093
E above lowest polymorph in meV per atom: 77.0
Formation energy from the elements in eV/atom: -0.068

Unit cell a=6.4449 b=6.4449 c=6.4449 alpha=130.57 beta=130.57 gamma=72.50
Last column: nearest neighbours and their distance in Å.
Sites, in units of the cell vectors:
K (0.2500, 0.7500, 0.5000)  4 Hg 3.74, 4 Tl 3.74, 4 K 3.81
K (0.7500, 0.2500, 0.5000)  4 Hg 3.74, 4 Tl 3.74, 4 K 3.81
Tl (0.0000, 0.0000, 0.0000)  8 K 3.74, 4 Hg 3.81
Hg (0.5000, 0.5000, 0.0000)  8 K 3.74, 4 Tl 3.81

An optimized crystal structure of BaBeP2O. Source: the Alexandria database, functional PBE.

## Properties
E_form (uncorrected) in eV/atom: 1.325
DOS(E_F) in states/eV per cell: 2.7
Total moment in μB per atom: 0.433
E above lowest polymorph in meV per atom: 1700.4

Unit cell a=5.9114 b=5.9114 c=4.3982 alpha=90.00 beta=90.00 gamma=90.00
Last column: nearest neighbours and their distance in Å.
Sites, in units of the cell vectors:
Ba (0.0000, 0.0000, 0.0000)  2 O 2.20
Be (0.5000, 0.5000, 0.5000)  8 P 3.68
P (0.0000, 0.5000, 0.0000)  2 Ba 2.96
P (0.5000, 0.0000, 0.0000)  2 Ba 2.96
O (0.0000, 0.0000, 0.5000)  2 Ba 2.20

An optimized crystal structure of Tc2PtSe. Source: the Alexandria database, functional PBE.

## Properties
E_form (uncorrected) in eV/atom: 0.066
DOS(E_F) in states/eV per cell: 2.8
Total moment in μB per atom: 0.000

Unit cell a=2.8728 b=2.8728 c=7.9109 alpha=90.00 beta=90.00 gamma=90.00
Last column: nearest neighbours and their distance in Å.
Sites, in units of the cell vectors:
Tc (0.0000, 0.0000, 0.0000)  4 Se 2.58, 8 Tc 2.73-2.87
Tc (0.5000, 0.5000, 0.2308)  8 Tc 2.73-2.87, 4 Pt 2.73
Pt (0.0000, 0.0000, 0.4617)  4 Tc 2.73, 4 Pt 2.87
Se (0.5000, 0.5000, 0.7993)  4 Tc 2.58, 4 Se 2.87

An optimized crystal structure of TaMnPd2. Source: the Alexandria database, functional PBE.

## Properties
DOS(E_F) in states/eV per cell: 3.0
Total moment in μB per atom: 0.776
E above lowest polymorph in meV per atom: 0.0
Formation energy from the elements in eV/atom: -0.153

Unit cell a=3.3908 b=3.3908 c=5.5121 alpha=90.00 beta=90.00 gamma=90.00
Last column: nearest neighbours and their distance in Å.
Sites, in units of the cell vectors:
Ta (0.0000, 0.0000, 0.0000)  2 Mn 2.76, 8 Pd 2.77
Mn (0.0000, 0.0000, 0.5000)  2 Ta 2.76, 8 Pd 2.76
Pd (0.5000, 0.5000, 0.2509)  2 Pd 2.75-2.77, 4 Mn 2.76, 4 Ta 2.77
Pd (0.5000, 0.5000, 0.7491)  2 Pd 2.75-2.77, 4 Mn 2.76, 4 Ta 2.77

An optimized crystal structure of Mg2Sc6Al. Source: the Alexandria database, functional PBE.

## Properties
DOS(E_F) in states/eV per cell: 10.5
Total moment in μB per atom: 0.000
Formation energy from the elements in eV/atom: -0.047

Unit cell a=5.0173 b=5.0173 c=9.3875 alpha=90.00 beta=90.00 gamma=120.00
Last column: nearest neighbours and their distance in Å.
Sites, in units of the cell vectors:
Mg (0.3333, 0.6667, 0.0670)  8 Sc 3.09-3.43, 3 Mg 3.16
Mg (0.6667, 0.3333, 0.9330)  8 Sc 3.09-3.43, 3 Mg 3.16
Sc (0.0000, 0.0000, 0.1871)  1 Al 2.94, 3 Sc 2.98, 3 Mg 3.11
Sc (0.0000, 0.0000, 0.8129)  1 Al 2.94, 3 Sc 2.98, 3 Mg 3.11
Sc (0.3333, 0.6667, 0.4025)  3 Al 3.04, 1 Mg 3.15, 4 Sc 3.15-3.18
Sc (0.3333, 0.6667, 0.7382)  7 Sc 2.98-3.18, 1 Mg 3.09
Sc (0.6667, 0.3333, 0.2618)  7 Sc 2.98-3.18, 1 Mg 3.09
Sc (0.6667, 0.3333, 0.5975)  3 Al 3.04, 1 Mg 3.15, 4 Sc 3.15-3.18
Al (0.0000, 0.0000, 0.5000)  8 Sc 2.94-3.04

An optimized crystal structure of LaPr6Cd2. Source: the Alexandria database, functional PBE.

## Properties
DOS(E_F) in states/eV per cell: 10.2
Total moment in μB per atom: 0.000
E above lowest polymorph in meV per atom: 0.0
Formation energy from the elements in eV/atom: -0.137

Unit cell a=6.8456 b=6.8456 c=12.4509 alpha=107.65 beta=107.65 gamma=33.06
Last column: nearest neighbours and their distance in Å.
Sites, in units of the cell vectors:
La (0.0000, 0.0000, 0.0000)  4 Cd 3.34
Pr (0.0204, 0.0204, 0.3375)  2 Cd 3.32, 5 Pr 3.65-3.71
Pr (0.3132, 0.3132, 0.4139)  2 Cd 3.39, 8 Pr 3.63-3.72
Pr (0.3166, 0.3166, 0.1238)  2 Cd 3.34, 5 Pr 3.60-3.68
Pr (0.6834, 0.6834, 0.8762)  2 Cd 3.34, 5 Pr 3.60-3.68
Pr (0.6868, 0.6868, 0.5861)  2 Cd 3.39, 8 Pr 3.63-3.72
Pr (0.9796, 0.9796, 0.6625)  2 Cd 3.32, 5 Pr 3.65-3.71
Cd (0.3500, 0.3500, 0.7916)  6 Pr 3.32-3.39, 2 La 3.34
Cd (0.6500, 0.6500, 0.2084)  6 Pr 3.32-3.39, 2 La 3.34